{"formula": "LiTlBi", "functional": "GGA-PBE", "state": "relaxed", "relative_energy_mev_per_atom": 68, "lattice": [[-2.106, 2.473, -2.487], [-3.277, -2.423, 0.365], [1.193, 2.585, 4.925]], "species": ["Tl", "Bi", "Li"], "fractional_positions": [[0.954, 0.954, 0.909], [0.619, 0.619, 0.239], [0.276, 0.276, 0.552]]}

{"formula": "LiTlBi2", "functional": "GGA-PBE", "state": "relaxed", "total_energy_ev_per_atom": -3.100, "lattice": [[4.822, 0.000, 0.000], [0.000, 4.822, 0.000], [2.411, 2.411, 10.847]], "species": ["Tl", "Tl", "Bi", "Bi", "Bi", "Bi", "Li", "Li"], "fractional_positions": [[0.000, 0.000, 0.000], [0.750, 0.250, 0.500], [0.588, 0.125, 0.250], [0.162, 0.625, 0.250], [0.375, 0.412, 0.750], [0.875, 0.838, 0.750], [0.500, 0.500, 0.000], [0.250, 0.750, 0.500]]}

{"formula": "Li2TlBi2", "functional": "GGA-PBE", "state": "relaxed", "relative_energy_mev_per_atom": 0, "lattice": [[8.877, 0.000, 0.000], [0.000, 8.877, 0.000], [0.000, 0.000, 3.288]], "species": ["Tl", "Tl", "Bi", "Bi", "Bi", "Bi", "Li", "Li", "Li", "Li"], "fractional_positions": [[0.000, 0.000, 0.000], [0.500, 0.500, 0.000], [0.167, 0.667, 0.500], [0.667, 0.833, 0.500], [0.833, 0.333, 0.500], [0.333, 0.167, 0.500], [0.374, 0.874, 0.000], [0.874, 0.626, 0.000], [0.626, 0.126, 0.000], [0.126, 0.374, 0.000]]}

{"formula": "Li8Tl2Bi", "functional": "GGA-PBE", "state": "relaxed", "relative_energy_mev_per_atom": 33, "lattice": [[4.451, 0.000, -1.351], [-0.848, 6.275, -2.791], [-0.007, -0.268, 7.980]], "species": ["Li", "Li", "Li", "Li", "Li", "Li", "Li", "Li", "Tl", "Tl", "Bi"], "fractional_positions": [[0.651, 0.870, 0.301], [0.349, 0.569, 0.699], [0.161, 0.161, 0.322], [0.000, 0.283, 0.000], [0.839, 0.839, 0.678], [0.651, 0.431, 0.301], [0.349, 0.130, 0.699], [0.000, 0.717, 0.000], [0.191, 0.691, 0.381], [0.809, 0.309, 0.619], [0.500, 0.000, 0.000]]}

{"formula": "Li3Tl2Bi2", "functional": "GGA-PBE", "state": "relaxed", "relative_energy_mev_per_atom": 5, "lattice": [[7.263, 0.000, -2.568], [-3.631, 6.290, -2.568], [0.000, 0.000, 7.703]], "species": ["Li", "Li", "Li", "Li", "Li", "Li", "Tl", "Tl", "Tl", "Tl", "Bi", "Bi", "Bi", "Bi"], "fractional_positions": [[0.720, 0.750, 0.970], [0.780, 0.250, 0.530], [0.030, 0.280, 0.250], [0.470, 0.220, 0.750], [0.250, 0.970, 0.220], [0.750, 0.530, 0.280], [0.000, 0.000, 0.854], [0.500, 0.854, 0.500], [0.146, 0.646, 0.646], [0.354, 0.500, 0.000], [0.000, 0.000, 0.447], [0.500, 0.447, 0.500], [0.553, 0.053, 0.053], [0.947, 0.500, 0.000]]}

{"formula": "Li3Tl2Bi", "functional": "GGA-PBE", "state": "relaxed", "total_energy_ev_per_atom": -2.691, "lattice": [[-4.942, 0.203, 0.699], [2.190, -4.353, -1.099], [1.624, -2.245, 12.126]], "species": ["Li", "Li", "Li", "Li", "Li", "Li", "Tl", "Tl", "Tl", "Tl", "Bi", "Bi"], "fractional_positions": [[0.333, 0.667, 0.411], [0.667, 0.333, 0.092], [0.000, 0.000, 0.749], [0.000, 0.000, 0.251], [0.333, 0.667, 0.908], [0.667, 0.333, 0.589], [0.000, 0.000, 0.500], [0.333, 0.667, 0.150], [0.667, 0.333, 0.850], [0.000, 0.000, 0.000], [0.333, 0.667, 0.666], [0.667, 0.333, 0.334]]}

{"formula": "LiTl6Bi2", "functional": "GGA-PBE", "state": "relaxed", "relative_energy_mev_per_atom": 20, "lattice": [[5.566, 0.000, 0.000], [2.783, 4.820, 0.000], [2.783, 1.607, 10.801]], "species": ["Li", "Tl", "Tl", "Tl", "Tl", "Tl", "Tl", "Bi", "Bi"], "fractional_positions": [[0.000, 0.000, 0.000], [0.587, 0.587, 0.238], [0.805, 0.805, 0.586], [0.695, 0.695, 0.914], [0.195, 0.195, 0.414], [0.413, 0.413, 0.762], [0.305, 0.305, 0.086], [0.910, 0.910, 0.269], [0.090, 0.090, 0.731]]}

{"formula": "LiTlBi", "functional": "GGA-PBE", "state": "relaxed", "relative_energy_mev_per_atom": 96, "lattice": [[-3.886, 0.901, -2.746], [-1.478, -3.270, -3.252], [-4.107, -2.460, 0.734]], "species": ["Tl", "Bi", "Li"], "fractional_positions": [[0.000, 0.000, 0.000], [0.500, 0.500, 0.500], [0.250, 0.250, 0.250]]}

{"formula": "LiTl12Bi3", "functional": "GGA-PBE", "state": "relaxed", "total_energy_ev_per_atom": -2.655, "lattice": [[-4.223, -2.115, -1.926], [-0.303, -3.084, 4.051], [-10.491, 12.796, 8.956]], "species": ["Li", "Tl", "Tl", "Tl", "Tl", "Tl", "Tl", "Tl", "Tl", "Tl", "Tl", "Tl", "Tl", "Bi", "Bi", "Bi"], "fractional_positions": [[0.000, 0.000, 0.000], [0.500, 0.500, 0.000], [0.500, 0.500, 0.245], [0.500, 0.500, 0.500], [0.500, 0.500, 0.755], [0.500, 0.000, 0.116], [0.500, 0.000, 0.372], [0.500, 0.000, 0.628], [0.500, 0.000, 0.884], [0.000, 0.500, 0.116], [0.000, 0.500, 0.372], [0.000, 0.500, 0.628], [0.000, 0.500, 0.884], [0.000, 0.000, 0.235], [0.000, 0.000, 0.500], [0.000, 0.000, 0.765]]}

{"formula": "LiTlBi2", "functional": "GGA-PBE", "state": "relaxed", "total_energy_ev_per_atom": -3.149, "lattice": [[-2.855, 3.082, 2.859], [-3.597, -3.125, -0.224], [1.622, -2.150, 3.937]], "species": ["Tl", "Bi", "Bi", "Li"], "fractional_positions": [[0.500, 0.500, 0.500], [0.000, 0.000, 0.500], [0.000, 0.500, 0.000], [0.500, 0.000, 0.000]]}

{"formula": "Li5TlBi4", "functional": "GGA-PBE", "state": "relaxed", "total_energy_ev_per_atom": -3.102, "lattice": [[3.431, 0.000, 0.000], [0.000, 3.431, 0.000], [0.000, 0.000, 19.904]], "species": ["Li", "Li", "Li", "Li", "Li", "Tl", "Bi", "Bi", "Bi", "Bi"], "fractional_positions": [[0.500, 0.500, 0.094], [0.500, 0.500, 0.293], [0.500, 0.500, 0.500], [0.500, 0.500, 0.707], [0.500, 0.500, 0.906], [0.000, 0.000, 0.000], [0.000, 0.000, 0.189], [0.000, 0.000, 0.396], [0.000, 0.000, 0.604], [0.000, 0.000, 0.811]]}

{"formula": "Li7TlBi4", "functional": "GGA-PBE", "state": "relaxed", "total_energy_ev_per_atom": -2.943, "lattice": [[5.192, 0.000, 0.000], [2.596, 8.827, -0.261], [2.596, 0.046, 6.201]], "species": ["Li", "Li", "Li", "Li", "Li", "Li", "Li", "Tl", "Bi", "Bi", "Bi", "Bi"], "fractional_positions": [[0.782, 0.905, 0.532], [0.218, 0.095, 0.468], [0.081, 0.647, 0.191], [0.919, 0.353, 0.809], [0.355, 0.548, 0.741], [0.500, 0.000, 0.000], [0.645, 0.452, 0.259], [0.000, 0.000, 0.000], [0.576, 0.228, 0.621], [0.424, 0.772, 0.379], [0.717, 0.690, 0.875], [0.283, 0.310, 0.125]]}